# 1
# Cu3Pt2 | Alexandria | GGA-PBEsol | optimized geometry
data_Cu3Pt2
_cell_length_a 4.1243
_cell_length_b 4.1243
_cell_length_c 5.0080
_cell_angle_alpha 90.00
_cell_angle_beta 90.00
_cell_angle_gamma 120.00
_symmetry_space_group_name_H-M 'P 1'
_symmetry_Int_Tables_number 1
loop_
_symmetry_equiv_pos_as_xyz
'x,y,z'
loop_
_atom_site_label
_atom_site_fract_x
_atom_site_fract_y
_atom_site_fract_z
Cu1 0.0000 0.0000 0.0000
Cu2 0.3333 0.6667 0.3624
Cu3 0.6667 0.3333 0.6376
Pt1 0.3333 0.6667 0.8512
Pt2 0.6667 0.3333 0.1488
# Energy above the most stable polymorph in this dataset: 275 meV per atom
# Calculated total energy: -26.12 eV for the cell shown

# 2
# CdSiN2 | Alexandria | GGA-PBEsol | optimized geometry
data_CdSiN2
_cell_length_a 5.2647
_cell_length_b 10.5341
_cell_length_c 13.7385
_cell_angle_alpha 90.00
_cell_angle_beta 90.00
_cell_angle_gamma 90.00
_symmetry_space_group_name_H-M 'P 1'
_symmetry_Int_Tables_number 1
loop_
_symmetry_equiv_pos_as_xyz
'x,y,z'
loop_
_atom_site_label
_atom_site_fract_x
_atom_site_fract_y
_atom_site_fract_z
Cd1 0.7265 0.9780 0.4388
Cd2 0.2265 0.5220 0.5612
Cd3 0.2735 0.4780 0.0612
Cd4 0.7735 0.0220 0.9388
Cd5 0.2735 0.0220 0.5612
Cd6 0.7735 0.4780 0.4388
Cd7 0.7265 0.5220 0.9388
Cd8 0.2265 0.9780 0.0612
Cd9 0.7913 0.2578 0.3117
Cd10 0.2913 0.2422 0.6883
Cd11 0.2087 0.7578 0.1883
Cd12 0.7087 0.7422 0.8117
Cd13 0.2087 0.7422 0.6883
Cd14 0.7087 0.7578 0.3117
Cd15 0.7913 0.2422 0.8117
Cd16 0.2913 0.2578 0.1883
Si1 0.6889 0.0222 0.1874
Si2 0.1889 0.4778 0.8126
Si3 0.3111 0.5222 0.3126
Si4 0.8111 0.9778 0.6874
Si5 0.3111 0.9778 0.8126
Si6 0.8111 0.5222 0.1874
Si7 0.6889 0.4778 0.6874
Si8 0.1889 0.0222 0.3126
Si9 0.7870 0.2776 0.0618
Si10 0.2870 0.2224 0.9382
Si11 0.2130 0.7776 0.4382
Si12 0.7130 0.7224 0.5618
Si13 0.2130 0.7224 0.9382
Si14 0.7130 0.7776 0.0618
Si15 0.7870 0.2224 0.5618
Si16 0.2870 0.2776 0.4382
N1 0.6264 0.4817 0.2879
N2 0.1264 0.0183 0.7121
N3 0.3736 0.9817 0.2121
N4 0.8736 0.5183 0.7879
N5 0.3736 0.5183 0.7121
N6 0.8736 0.9817 0.2879
N7 0.6264 0.0183 0.7879
N8 0.1264 0.4817 0.2121
N9 0.6150 0.2683 0.4596
N10 0.1150 0.2317 0.5404
N11 0.3850 0.7683 0.0404
N12 0.8850 0.7317 0.9596
N13 0.3850 0.7317 0.5404
N14 0.8850 0.7683 0.4596
N15 0.6150 0.2317 0.9596
N16 0.1150 0.2683 0.0404
N17 0.7088 0.4365 0.0858
N18 0.2088 0.0635 0.9142
N19 0.2912 0.9365 0.4142
N20 0.7912 0.5635 0.5858
N21 0.2912 0.5635 0.9142
N22 0.7912 0.9365 0.0858
N23 0.7088 0.0635 0.5858
N24 0.2088 0.4365 0.4142
N25 0.7018 0.1862 0.1632
N26 0.2018 0.3138 0.8368
N27 0.2982 0.6862 0.3368
N28 0.7982 0.8138 0.6632
N29 0.2982 0.8138 0.8368
N30 0.7982 0.6862 0.1632
N31 0.7018 0.3138 0.6632
N32 0.2018 0.1862 0.3368
# E_form (uncorrected): -0.638 eV per atom
# Calculated total energy: -424.81 eV for the cell shown

# 3
# LaI2OF | Alexandria | GGA-PBEsol | optimized geometry
data_LaI2OF
_cell_length_a 4.9700
_cell_length_b 4.9700
_cell_length_c 4.5793
_cell_angle_alpha 90.00
_cell_angle_beta 90.00
_cell_angle_gamma 90.00
_symmetry_space_group_name_H-M 'P 1'
_symmetry_Int_Tables_number 1
loop_
_symmetry_equiv_pos_as_xyz
'x,y,z'
loop_
_atom_site_label
_atom_site_fract_x
_atom_site_fract_y
_atom_site_fract_z
I1 0.0000 0.5000 0.0000
I2 0.5000 0.0000 0.0000
F1 0.0000 0.0000 0.0000
O1 0.0000 0.0000 0.5000
La1 0.5000 0.5000 0.5000
# E_form (uncorrected): -0.587 eV per atom
# Calculated total energy: -18.99 eV for the cell shown

# 4
# YMn2 | Alexandria | GGA-PBEsol | optimized geometry
data_YMn2
_cell_length_a 3.6984
_cell_length_b 5.0129
_cell_length_c 5.4669
_cell_angle_alpha 90.00
_cell_angle_beta 109.77
_cell_angle_gamma 90.00
_symmetry_space_group_name_H-M 'P 1'
_symmetry_Int_Tables_number 1
loop_
_symmetry_equiv_pos_as_xyz
'x,y,z'
loop_
_atom_site_label
_atom_site_fract_x
_atom_site_fract_y
_atom_site_fract_z
Mn1 0.0000 0.0000 0.0000
Mn2 0.4479 0.2500 0.8958
Mn3 0.0000 0.5000 0.0000
Mn4 0.5521 0.7500 0.1042
Y1 0.7128 0.2500 0.4256
Y2 0.2872 0.7500 0.5744
# Calculated total energy: -52.07 eV for the cell shown

# 5
# ZrTi2Tc | Alexandria | GGA-PBEsol | optimized geometry
data_ZrTi2Tc
_cell_length_a 4.5193
_cell_length_b 4.5193
_cell_length_c 4.5193
_cell_angle_alpha 60.00
_cell_angle_beta 60.00
_cell_angle_gamma 60.00
_symmetry_space_group_name_H-M 'P 1'
_symmetry_Int_Tables_number 1
loop_
_symmetry_equiv_pos_as_xyz
'x,y,z'
loop_
_atom_site_label
_atom_site_fract_x
_atom_site_fract_y
_atom_site_fract_z
Tc1 0.5000 0.5000 0.5000
Zr1 0.0000 0.0000 0.0000
Ti1 0.2500 0.2500 0.2500
Ti2 0.7500 0.7500 0.7500
# Calculated total energy: -37.33 eV for the cell shown

# 6
# SbMoOs2 | Alexandria | GGA-PBEsol | optimized geometry
data_SbMoOs2
_cell_length_a 2.8764
_cell_length_b 3.9617
_cell_length_c 5.6254
_cell_angle_alpha 90.00
_cell_angle_beta 90.00
_cell_angle_gamma 90.00
_symmetry_space_group_name_H-M 'P 1'
_symmetry_Int_Tables_number 1
loop_
_symmetry_equiv_pos_as_xyz
'x,y,z'
loop_
_atom_site_label
_atom_site_fract_x
_atom_site_fract_y
_atom_site_fract_z
Mo1 0.5000 0.5000 0.7599
Os1 0.0000 0.0000 0.0268
Os2 0.5000 0.5000 0.2098
Sb1 0.0000 0.0000 0.5036
# E_form (uncorrected): 0.481 eV per atom
# Calculated total energy: -38.83 eV for the cell shown

# 7
# CoMoSe2 | Alexandria | GGA-PBEsol | optimized geometry
data_CoMoSe2
_cell_length_a 2.8720
_cell_length_b 4.9430
_cell_length_c 4.9430
_cell_angle_alpha 105.03
_cell_angle_beta 103.99
_cell_angle_gamma 103.99
_symmetry_space_group_name_H-M 'P 1'
_symmetry_Int_Tables_number 1
loop_
_symmetry_equiv_pos_as_xyz
'x,y,z'
loop_
_atom_site_label
_atom_site_fract_x
_atom_site_fract_y
_atom_site_fract_z
Co1 0.0000 0.5000 0.5000
Mo1 0.0000 0.0000 0.0000
Se1 0.0000 0.0000 0.5000
Se2 0.0000 0.5000 0.0000
# E_form (uncorrected): 0.468 eV per atom
# Energy above the most stable polymorph in this dataset: 373 meV per atom
# Calculated total energy: -25.33 eV for the cell shown

# 8
# Cd2TeCl | Alexandria | GGA-PBEsol | optimized geometry
data_Cd2TeCl
_cell_length_a 4.0447
_cell_length_b 4.0447
_cell_length_c 6.9552
_cell_angle_alpha 106.90
_cell_angle_beta 106.90
_cell_angle_gamma 90.00
_symmetry_space_group_name_H-M 'P 1'
_symmetry_Int_Tables_number 1
loop_
_symmetry_equiv_pos_as_xyz
'x,y,z'
loop_
_atom_site_label
_atom_site_fract_x
_atom_site_fract_y
_atom_site_fract_z
Cl1 0.5000 0.5000 0.0000
Te1 0.2500 0.7500 0.5000
Cd1 0.0000 0.0000 0.0000
Cd2 0.7500 0.2500 0.5000
# E_form (uncorrected): -0.196 eV per atom
# Energy above the most stable polymorph in this dataset: 32 meV per atom
# Calculated total energy: -8.71 eV for the cell shown

# 9
# BaSr5 | Alexandria | GGA-PBEsol | optimized geometry
data_BaSr5
_cell_length_a 4.2007
_cell_length_b 8.1008
_cell_length_c 10.0486
_cell_angle_alpha 105.12
_cell_angle_beta 90.00
_cell_angle_gamma 105.03
_symmetry_space_group_name_H-M 'P 1'
_symmetry_Int_Tables_number 1
loop_
_symmetry_equiv_pos_as_xyz
'x,y,z'
loop_
_atom_site_label
_atom_site_fract_x
_atom_site_fract_y
_atom_site_fract_z
Sr1 0.3324 0.6648 0.6644
Sr2 0.6679 0.3357 0.3359
Sr3 0.6119 0.2238 0.7203
Sr4 0.9442 0.8885 0.3896
Sr5 0.2765 0.5529 0.0555
Ba1 0.0005 0.0010 0.0010
# Energy above the most stable polymorph in this dataset: 5 meV per atom
# Calculated total energy: -11.29 eV for the cell shown

# 10
# Ca3MnBi | Alexandria | GGA-PBEsol | optimized geometry
data_Ca3MnBi
_cell_length_a 5.3080
_cell_length_b 5.3080
_cell_length_c 5.3080
_cell_angle_alpha 90.00
_cell_angle_beta 90.00
_cell_angle_gamma 90.00
_symmetry_space_group_name_H-M 'P 1'
_symmetry_Int_Tables_number 1
loop_
_symmetry_equiv_pos_as_xyz
'x,y,z'
loop_
_atom_site_label
_atom_site_fract_x
_atom_site_fract_y
_atom_site_fract_z
Ca1 0.0000 0.5000 0.0000
Ca2 0.0000 0.0000 0.5000
Ca3 0.5000 0.0000 0.0000
Mn1 0.0000 0.0000 0.0000
Bi1 0.5000 0.5000 0.5000
# Calculated total energy: -19.24 eV for the cell shown